A relaxed Li2InSb crystal. Source: the Alexandria database, functional PBE-GGA.

Summary:
- Formation energy (no corrections): -0.332 eV/atom
- Space group: Cmmm

The structure in POSCAR format:
```
Li2InSb
1.0
3.231 -4.300 0.000
3.231 4.300 0.000
0.000 0.000 3.054
Li In Sb
2 1 1
Direct
0.000 0.500 0.000
0.500 0.000 0.000
0.000 0.000 0.500
0.500 0.500 0.500
```

=====

A relaxed Cs3LiAl crystal. Source: the Alexandria database, functional PBE-GGA.

Summary:
- Space group: Pm-3m
- Energy of formation: 0.432 eV/atom

The structure in POSCAR format:
```
Cs3LiAl
1.0
7.323 0.000 0.000
0.000 7.323 0.000
0.000 0.000 7.323
Cs Li Al
3 1 1
Direct
0.000 0.000 0.500
0.000 0.500 0.000
0.500 0.000 0.000
0.500 0.500 0.500
0.000 0.000 0.000
```

=====

A relaxed Pm2TmCu9 crystal. Source: the Alexandria database, functional PBE-GGA.

Summary:
- Space group: R-3m
- Energy of formation: -0.162 eV/atom

The structure in POSCAR format:
```
Pm2TmCu9
1.0
2.578 1.489 8.473
-2.578 1.489 8.473
0.000 -2.977 8.473
Pm Tm Cu
2 1 9
Direct
0.140 0.140 0.140
0.860 0.860 0.860
0.000 0.000 0.000
0.081 0.579 0.579
0.332 0.332 0.332
0.421 0.421 0.919
0.421 0.919 0.421
0.500 0.500 0.500
0.579 0.081 0.579
0.579 0.579 0.081
0.668 0.668 0.668
0.919 0.421 0.421
```

=====

Results for E_tot: -12.0 -6.1 -52.8 (in eV for the cell shown, following the order of the records).
Results for V: 21.216 78.538 16.261 (in Å³/atom, following the order of the records).